Entry 1:
Entry from the Alexandria database: a relaxed structure of NaCuH3 (GGA-PBEsol).

Computed properties:
* density of states at the Fermi level: 0.201 states/eV per atom
* distance to the lowest polymorph of the same formula: 0.0 meV per atom
* space-group type: Pm-3m

Cell lengths 3.4500, 3.4500, 3.4500 Å; angles 90.00, 90.00, 90.00 degrees
Fractional coordinates of all 5 atoms:
Na  0.0000  0.0000  0.0000
Cu  0.5000  0.5000  0.5000
H  0.0000  0.5000  0.5000
H  0.5000  0.0000  0.5000
H  0.5000  0.5000  0.0000

***

Entry 2:
Entry from the Alexandria database: a relaxed structure of KCd4 (GGA-PBEsol).

Computed properties:
* calculated formation energy: 0.076 eV per formula unit
* density of states at the Fermi level: 0.476 states/eV per atom
* distance to the lowest polymorph of the same formula: 17.7 meV per atom
* space-group type: I-43m

Cell lengths 8.8072, 8.8072, 8.8072 Å; angles 109.47, 109.47, 109.47 degrees
Fractional coordinates of all 20 atoms:
K  0.0000  0.0000  0.4304
K  0.0000  0.4304  0.0000
K  0.4304  0.0000  0.0000
K  0.5696  0.5696  0.5696
Cd  0.0000  0.0000  0.7911
Cd  0.0000  0.3519  0.3519
Cd  0.0000  0.6481  0.6481
Cd  0.0000  0.7911  0.0000
Cd  0.2089  0.2089  0.2089
Cd  0.2500  0.5000  0.7500
Cd  0.2500  0.7500  0.5000
Cd  0.3519  0.0000  0.3519
Cd  0.3519  0.3519  0.0000
Cd  0.5000  0.2500  0.7500
Cd  0.5000  0.7500  0.2500
Cd  0.6481  0.0000  0.6481
Cd  0.6481  0.6481  0.0000
Cd  0.7500  0.2500  0.5000
Cd  0.7500  0.5000  0.2500
Cd  0.7911  0.0000  0.0000

***

Entry 3:
Entry from the Alexandria database: a relaxed structure of ScCr3H (GGA-PBEsol).

Computed properties:
* density of states at the Fermi level: 1.297 states/eV per atom
* E_tot: -7.69 eV/atom
* space-group type: Pm-3m

Cell lengths 3.8321, 3.8321, 3.8321 Å; angles 90.00, 90.00, 90.00 degrees
Fractional coordinates of all 5 atoms:
Sc  0.0000  0.0000  0.0000
Cr  0.0000  0.5000  0.5000
Cr  0.5000  0.0000  0.5000
Cr  0.5000  0.5000  0.0000
H  0.5000  0.5000  0.5000

***

Entry 4:
Entry from the Alexandria database: a relaxed structure of BaAs3Pt (GGA-PBEsol).

Computed properties:
* calculated formation energy: 9.764 eV per formula unit
* density of states at the Fermi level: 1.328 states/eV per atom
* space-group type: Pm-3m

Cell lengths 5.4973, 5.4973, 5.4973 Å; angles 90.00, 90.00, 90.00 degrees
Fractional coordinates of all 5 atoms:
Ba  0.0000  0.0000  0.0000
As  0.0000  0.0000  0.5000
As  0.0000  0.5000  0.0000
As  0.5000  0.0000  0.0000
Pt  0.5000  0.5000  0.5000

***

Entry 5:
Entry from the Alexandria database: a relaxed structure of DyYMg2 (GGA-PBEsol).

Computed properties:
* calculated formation energy: -0.333 eV per formula unit
* density of states at the Fermi level: 1.319 states/eV per atom
* space-group type: Fm-3m

Cell lengths 7.4921, 7.4921, 7.4921 Å; angles 90.00, 90.00, 90.00 degrees
Fractional coordinates of all 16 atoms:
Dy  0.0000  0.0000  0.0000
Dy  0.0000  0.5000  0.5000
Dy  0.5000  0.0000  0.5000
Dy  0.5000  0.5000  0.0000
Y  0.0000  0.0000  0.5000
Y  0.0000  0.5000  0.0000
Y  0.5000  0.0000  0.0000
Y  0.5000  0.5000  0.5000
Mg  0.2500  0.2500  0.2500
Mg  0.2500  0.2500  0.7500
Mg  0.2500  0.7500  0.2500
Mg  0.2500  0.7500  0.7500
Mg  0.7500  0.2500  0.2500
Mg  0.7500  0.2500  0.7500
Mg  0.7500  0.7500  0.2500
Mg  0.7500  0.7500  0.7500

***

Entry 6:
Entry from the Alexandria database: a relaxed structure of ScMo (GGA-PBEsol).

Computed properties:
* calculated formation energy: 0.005 eV per formula unit
* density of states at the Fermi level: 0.814 states/eV per atom
* distance to the lowest polymorph of the same formula: 0.0 meV per atom
* space-group type: P4/nmm

Cell lengths 3.1783, 3.1783, 7.4545 Å; angles 90.00, 90.00, 90.00 degrees
Fractional coordinates of all 4 atoms:
Sc  0.2500  0.2500  0.1719
Sc  0.7500  0.7500  0.8281
Mo  0.2500  0.2500  0.5934
Mo  0.7500  0.7500  0.4066

***

These records have calculated density values of 3.6, 6.2, 6.0, 5.6, 4.7, 6.2 Mg/m³, in the order they appear.
These records have spin magnetization values of 0.00, 0.00, 2.57, 0.00, 0.00, 0.00 μB per cell, in the order they appear.